Below is NaSi2Hg after structural relaxation, with properties calculated at the PBE level.

Calculated values
Crystal system: tetragonal
ΔE_f (raw): 0.3715 eV/atom
Space group: I-42d (122)
Mass density: 5.2 g/cm3

Unit cell a=4.2003 b=4.2003 c=10.4885 alpha=78.45 beta=78.45 gamma=90.00
Fractional coordinates of all 8 atoms:
Si: 0.3750 0.2855 0.7500
Si: 0.8750 0.9645 0.7500
Si: 0.0355 0.6250 0.2500
Si: 0.7145 0.1250 0.2500
Hg: 0.7500 0.2500 0.5000
Hg: 0.0000 0.0000 0.0000
Na: 0.5000 0.5000 0.0000
Na: 0.2500 0.7500 0.5000

=====

Below is CeTlAu2 after structural relaxation, with properties calculated at the PBE level.

Calculated values
Crystal system: orthorhombic
DFT formation energy: -0.510 eV/atom
Space group: Pmmn (59)
Mass density: 13.1 g/cm3

Unit cell a=5.0919 b=5.1250 c=7.1690 alpha=90.00 beta=90.00 gamma=90.00
Each line ends with the local moment (μB).
Fractional coordinates of all 8 atoms:
Ce: 0.0000 0.2793 0.0000  0.71
Ce: 0.5000 0.7207 0.5000  0.71
Au: 0.5000 0.2169 0.2498  0.00
Au: 0.0000 0.7831 0.2502  0.00
Au: 0.5000 0.2169 0.7502  0.00
Au: 0.0000 0.7831 0.7498  0.00
Tl: 0.0000 0.2699 0.5000  0.01
Tl: 0.5000 0.7301 0.0000  0.01

=====

Below is Ca2Be after structural relaxation, with properties calculated at the PBE level.

Calculated values
Crystal system: orthorhombic
DFT formation energy: 0.331 eV/atom
Space group: Cmcm (63)
Mass density: 1.7 g/cm3

Unit cell a=9.3354 b=9.3354 c=5.1645 alpha=90.00 beta=90.00 gamma=157.63
Fractional coordinates of all 6 atoms:
Ca: 0.3058 0.6942 0.7500
Ca: 0.4327 0.5673 0.2500
Ca: 0.5673 0.4327 0.7500
Ca: 0.6942 0.3058 0.2500
Be: 0.9409 0.0591 0.7500
Be: 0.0591 0.9409 0.2500

=====

Below is Pm2Mg3Ag4 after structural relaxation, with properties calculated at the PBE level.

Calculated values
Crystal system: monoclinic
DFT formation energy: -0.235 eV/atom
Space group: C2/m (12)
Mass density: 6.5 g/cm3

Unit cell a=4.9626 b=4.9605 c=9.5177 alpha=85.77 beta=85.71 gamma=61.12
Fractional coordinates of all 9 atoms:
Mg: 0.0000 0.0000 0.0000
Mg: 0.3018 0.3023 0.4156
Mg: 0.6982 0.6977 0.5844
Pm: 0.3534 0.3534 0.7767
Pm: 0.6466 0.6466 0.2233
Ag: 0.0350 0.0341 0.6405
Ag: 0.6783 0.6786 0.9038
Ag: 0.3217 0.3214 0.0962
Ag: 0.9650 0.9659 0.3595

=====

Copy entry 1 word for word.
Below is NaSi2Hg after structural relaxation, with properties calculated at the PBE level.

Calculated values
Crystal system: tetragonal
ΔE_f (raw): 0.3715 eV/atom
Space group: I-42d (122)
Mass density: 5.2 g/cm3

Unit cell a=4.2003 b=4.2003 c=10.4885 alpha=78.45 beta=78.45 gamma=90.00
Fractional coordinates of all 8 atoms:
Si: 0.3750 0.2855 0.7500
Si: 0.8750 0.9645 0.7500
Si: 0.0355 0.6250 0.2500
Si: 0.7145 0.1250 0.2500
Hg: 0.7500 0.2500 0.5000
Hg: 0.0000 0.0000 0.0000
Na: 0.5000 0.5000 0.0000
Na: 0.2500 0.7500 0.5000

=====

Q: Which value of mass density does entry 3 give?
A: 1.7 g/cm3